Below is a geometry-optimized YSbBr2 structure, with properties calculated at the PBE level.

The structure in POSCAR format:
```
YSbBr2
1.0
11.165 -0.017 -0.010
10.568 3.604 -0.010
10.568 1.744 3.154
Sb Br Y
1 2 1
Direct
0.250 0.250 0.250
0.026 0.026 0.026
0.474 0.474 0.474
0.750 0.750 0.750
```

Calculated total energy ... -0.1595 hartree per atom
Total magnetization ... 0.14 μB/f.u.
Calculated density ... 4.8 g/cm³
DOS at the Fermi energy ... 3.28 states/eV/cell
Space-group type ... R-3m (166)
Excess energy over the best structure of this formula in the dataset ... 0.76 eV/f.u.